# 1
The following is a DFT calculation (PBE-GGA) of an optimized crystal structure of Y3NbIn. Values from VASP.

Properties
space group: Pm-3m, No. 221
energy above the lowest structure with this stoichiometry: 473.5 meV/atom
size of the total moment: 4.65 μB per cell
E_form: 0.94 eV per atom

The structure in Quantum ESPRESSO input format:
```
&SYSTEM
  ibrav = 0, nat = 5, ntyp = 3
/
ATOMIC_SPECIES
Y 88.91 Y.upf
In 114.82 In.upf
Nb 92.91 Nb.upf
CELL_PARAMETERS angstrom
-3.8235 1.1777 -3.9668
-4.1323 -0.8049 3.7440
0.2159 5.4504 1.4101
ATOMIC_POSITIONS crystal
Y 0.0000 0.0000 0.5000
In 0.0000 0.0000 0.0000
Y 0.5000 0.0000 0.0000
Y 0.0000 0.5000 0.0000
Nb 0.5000 0.5000 0.5000
```

# 2
The following is a DFT calculation (PBE-GGA) of an optimized crystal structure of ZrNiRu. Values from VASP.

Properties
space group: Cmcm, No. 63
energy above the lowest structure with this stoichiometry: 103.6 meV/atom
size of the total moment: 0.00 μB per cell
E_form: -0.30 eV per atom

The structure in Quantum ESPRESSO input format:
```
&SYSTEM
  ibrav = 0, nat = 12, ntyp = 3
/
ATOMIC_SPECIES
Ru 101.07 Ru.upf
Zr 91.22 Zr.upf
Ni 58.69 Ni.upf
CELL_PARAMETERS angstrom
-0.9343 -4.0515 0.7795
1.7341 1.2747 8.7032
-4.8319 1.2639 0.7776
ATOMIC_POSITIONS crystal
Ru 0.5000 0.0869 0.7500
Zr 0.5000 0.7889 0.7500
Ni 0.0000 0.0000 0.0000
Ru 0.5000 0.9131 0.2500
Ni 0.5000 0.5000 0.5000
Ni 0.5000 0.5000 0.0000
Ru 0.0000 0.4131 0.2500
Zr 0.0000 0.2889 0.7500
Ru 0.0000 0.5869 0.7500
Zr 0.5000 0.2111 0.2500
Ni 0.0000 0.0000 0.5000
Zr 0.0000 0.7111 0.2500
```

# 3
The following is a DFT calculation (PBE-GGA) of an optimized crystal structure of Er4BePd3. Values from VASP.

Properties
space group: Pmm2, No. 25
size of the total moment: 0.00 μB per cell
E_form: -0.70 eV per atom

The structure in Quantum ESPRESSO input format:
```
&SYSTEM
  ibrav = 0, nat = 8, ntyp = 3
/
ATOMIC_SPECIES
Er 167.26 Er.upf
Pd 106.42 Pd.upf
Be 9.01 Be.upf
CELL_PARAMETERS angstrom
3.7321 0.0000 0.0000
0.0000 4.3863 0.0000
0.0000 0.0000 10.5464
ATOMIC_POSITIONS crystal
Er 0.0000 0.5000 0.8612
Er 0.0000 0.0000 0.1384
Pd 0.0000 0.0000 0.4135
Be 0.5000 0.5000 0.0683
Er 0.5000 0.0000 0.6401
Pd 0.0000 0.5000 0.5880
Er 0.5000 0.5000 0.3574
Pd 0.5000 0.0000 0.9331
```

# 4
The following is a DFT calculation (PBE-GGA) of an optimized crystal structure of TcPt3Rh4. Values from VASP.

Properties
space group: P2/m, No. 10
energy above the lowest structure with this stoichiometry: 145.4 meV/atom
size of the total moment: 0.00 μB per cell
E_form: 0.27 eV per atom

The structure in Quantum ESPRESSO input format:
```
&SYSTEM
  ibrav = 0, nat = 8, ntyp = 3
/
ATOMIC_SPECIES
Rh 102.91 Rh.upf
Pt 195.08 Pt.upf
Tc 98.00 Tc.upf
CELL_PARAMETERS angstrom
-2.4793 1.0685 0.2764
-1.7624 -3.9410 -0.5744
1.0165 -0.4271 10.7694
ATOMIC_POSITIONS crystal
Rh 0.5001 0.2695 0.5615
Pt 0.5000 0.0000 0.0000
Tc 0.0000 0.5000 0.0000
Pt 0.0000 0.8010 0.6827
Rh 0.4999 0.7305 0.4385
Rh 0.5001 0.3358 0.7984
Pt 0.0000 0.1990 0.3173
Rh 0.4999 0.6642 0.2016
```

# 5
The following is a DFT calculation (PBE-GGA) of an optimized crystal structure of K2In2Cl7. Values from VASP.

Properties
space group: C2/m, No. 12
raw formation energy: -1.332 eV/atom
size of the total moment: 0.00 μB per cell

The structure in Quantum ESPRESSO input format:
```
&SYSTEM
  ibrav = 0, nat = 11, ntyp = 3
/
ATOMIC_SPECIES
Cl 35.45 Cl.upf
In 114.82 In.upf
K 39.10 K.upf
CELL_PARAMETERS angstrom
-1.5466 -5.9306 3.1010
-2.8603 -1.8379 -7.3643
7.9442 -1.3151 -0.9760
ATOMIC_POSITIONS crystal
Cl 0.2125 0.4109 0.0877
In 0.5887 0.7673 0.7673
K 0.0000 0.2997 0.7003
Cl 0.2799 0.5921 0.5921
In 0.4113 0.2327 0.2327
Cl 0.7201 0.4079 0.4079
K 0.0000 0.7003 0.2997
Cl 0.7875 0.5891 0.9123
Cl 0.5000 0.0000 0.0000
Cl 0.7875 0.9123 0.5891
Cl 0.2125 0.0877 0.4109
```

# 6
The following is a DFT calculation (PBE-GGA) of an optimized crystal structure of BeAl3Ni12. Values from VASP.

Properties
space group: P4/mmm, No. 123
size of the total moment: 3.34 μB per cell
E_form: -0.36 eV per atom

The structure in Quantum ESPRESSO input format:
```
&SYSTEM
  ibrav = 0, nat = 16, ntyp = 3
/
ATOMIC_SPECIES
Al 26.98 Al.upf
Ni 58.69 Ni.upf
Be 9.01 Be.upf
CELL_PARAMETERS angstrom
-0.0969 3.4727 0.7426
-3.4025 -0.3035 0.9752
4.0012 -2.6943 13.1225
ATOMIC_POSITIONS crystal
Al 0.0000 0.0000 0.2442
Ni 0.0000 0.5000 0.6278
Al 0.0000 0.0000 0.7558
Ni 0.0000 0.5000 0.8842
Ni 0.0000 0.5000 0.3722
Ni 0.5000 0.5000 0.0000
Ni 0.5000 0.5000 0.7554
Al 0.0000 0.0000 0.5000
Ni 0.5000 0.0000 0.6278
Ni 0.5000 0.5000 0.2446
Ni 0.5000 0.5000 0.5000
Be 0.0000 0.0000 0.0000
Ni 0.5000 0.0000 0.1158
Ni 0.5000 0.0000 0.8842
Ni 0.5000 0.0000 0.3722
Ni 0.0000 0.5000 0.1158
```

# 7
The following is a DFT calculation (PBE-GGA) of an optimized crystal structure of TbGd2Cd. Values from VASP.

Properties
space group: P4/mmm, No. 123
energy above the lowest structure with this stoichiometry: 0.0 meV/atom
size of the total moment: 14.81 μB per cell
E_form: -0.15 eV per atom

The structure in Quantum ESPRESSO input format:
```
&SYSTEM
  ibrav = 0, nat = 4, ntyp = 3
/
ATOMIC_SPECIES
Gd 157.25 Gd.upf
Cd 112.41 Cd.upf
Tb 158.93 Tb.upf
CELL_PARAMETERS angstrom
3.6025 0.0000 0.0000
0.0000 3.6025 0.0000
0.0000 0.0000 9.1799
ATOMIC_POSITIONS crystal
Gd 0.0000 0.0000 0.2279
Gd 0.0000 0.0000 0.7721
Cd 0.5000 0.5000 0.0000
Tb 0.5000 0.5000 0.5000
```

# 8
The following is a DFT calculation (PBE-GGA) of an optimized crystal structure of Ba2NaSrTe. Values from VASP.

Properties
space group: P4/mmm, No. 123
raw formation energy: -0.494 eV/atom
size of the total moment: 0.00 μB per cell

The structure in Quantum ESPRESSO input format:
```
&SYSTEM
  ibrav = 0, nat = 5, ntyp = 4
/
ATOMIC_SPECIES
Ba 137.33 Ba.upf
Sr 87.62 Sr.upf
Na 22.99 Na.upf
Te 127.60 Te.upf
CELL_PARAMETERS angstrom
6.7834 0.0000 0.0000
0.0000 6.7834 0.0000
0.0000 0.0000 6.4050
ATOMIC_POSITIONS crystal
Ba 0.5000 0.0000 0.0000
Sr 0.0000 0.0000 0.5000
Ba 0.0000 0.5000 0.0000
Na 0.5000 0.5000 0.5000
Te 0.0000 0.0000 0.0000
```

| no. | electronic total energy (eV/atom) |
| --- | --- |
| 1 | -5.497 |
| 2 | -8.171 |
| 3 | -5.392 |
| 4 | -6.965 |
| 5 | -3.205 |
| 6 | -5.631 |
| 7 | -8.573 |
| 8 | -2.491 |